! GGA-PBE AuNCl, relaxed; values from VASP
&SYSTEM
  ibrav = 0, nat = 12, ntyp = 3
/
ATOMIC_SPECIES
Au 196.97 Au.upf
N 14.01 N.upf
Cl 35.45 Cl.upf
ATOMIC_POSITIONS crystal
Au 0.170 0.250 0.123
Au 0.170 0.250 0.623
Au 0.830 0.750 0.377
Au 0.830 0.750 0.877
N 0.488 0.077 0.442
N 0.488 0.423 0.942
N 0.512 0.577 0.058
N 0.512 0.923 0.558
Cl 0.172 0.565 0.373
Cl 0.172 0.935 0.873
Cl 0.828 0.065 0.127
Cl 0.828 0.435 0.627
CELL_PARAMETERS angstrom
10.435 0.000 0.000
0.000 5.786 0.000
-1.268 0.000 5.703
! - calculated total energy (eV/f.u.) = -13.76
! - crystal system = monoclinic